! GGA-PBE VGaPt6, optimized geometry; values from VASP
! **N(E_F)**: 6.319 states/eV per cell
! **Calculated density**: 17.6 g/cm³
! **Raw total energy**: -6.529 eV/atom
! **Formation energy from the elements**: -480 meV/atom
! **Total magnetization**: 0.591 μB/f.u.
&SYSTEM
  ibrav = 0, nat = 8, ntyp = 3
/
ATOMIC_SPECIES
V 50.94 V.upf
Ga 69.72 Ga.upf
Pt 195.08 Pt.upf
ATOMIC_POSITIONS crystal
V 0.000 0.000 0.000
Ga 0.000 0.000 0.500
Pt 0.000 0.500 0.243
Pt 0.000 0.500 0.757
Pt 0.500 0.000 0.243
Pt 0.500 0.000 0.757
Pt 0.500 0.500 0.000
Pt 0.500 0.500 0.500
CELL_PARAMETERS angstrom
3.928 0.000 0.000
0.000 3.928 0.000
0.000 0.000 7.879

! GGA-PBE GaPt3W, optimized geometry; values from VASP
! **N(E_F)**: 4.062 states/eV per cell
! **Calculated density**: 14.6 g/cm³
! **Raw total energy**: -5.767 eV/atom
! **E above lowest polymorph**: 0.062 eV per atom
! **Formation energy from the elements**: 1054 meV/atom
! **Total magnetization**: 3.265 μB/f.u.
&SYSTEM
  ibrav = 0, nat = 5, ntyp = 3
/
ATOMIC_SPECIES
Ga 69.72 Ga.upf
Pt 195.08 Pt.upf
W 183.84 W.upf
ATOMIC_POSITIONS crystal
Ga 0.000 0.000 0.000
Pt 0.000 0.000 0.500
Pt 0.000 0.500 0.000
Pt 0.500 0.000 0.000
W 0.500 0.500 0.500
CELL_PARAMETERS angstrom
4.570 0.000 0.000
0.000 4.570 0.000
0.000 0.000 4.570

! GGA-PBE GaPt3W, optimized geometry; values from VASP
! **N(E_F)**: 4.436 states/eV per cell
! **Calculated density**: 11.9 g/cm³
! **Raw total energy**: -5.829 eV/atom
! **E above lowest polymorph**: 0.000 eV per atom
! **Formation energy from the elements**: 992 meV/atom
! **Total magnetization**: 0.000 μB/f.u.
&SYSTEM
  ibrav = 0, nat = 5, ntyp = 3
/
ATOMIC_SPECIES
Ga 69.72 Ga.upf
Pt 195.08 Pt.upf
W 183.84 W.upf
ATOMIC_POSITIONS crystal
Ga 0.000 0.000 0.000
Pt 0.000 0.500 0.500
Pt 0.500 0.000 0.500
Pt 0.500 0.500 0.000
W 0.500 0.500 0.500
CELL_PARAMETERS angstrom
4.892 0.000 0.000
0.000 4.892 0.000
0.000 0.000 4.892

! GGA-PBE GaPtW, optimized geometry; values from VASP
! **N(E_F)**: 8.824 states/eV per cell
! **Calculated density**: 14.4 g/cm³
! **Raw total energy**: -7.450 eV/atom
! **Formation energy from the elements**: -109 meV/atom
! **Total magnetization**: 0.000 μB/f.u.
&SYSTEM
  ibrav = 0, nat = 12, ntyp = 3
/
ATOMIC_SPECIES
Ga 69.72 Ga.upf
Pt 195.08 Pt.upf
W 183.84 W.upf
ATOMIC_POSITIONS crystal
Ga 0.000 0.000 0.062
Ga 0.000 0.000 0.938
Ga 0.500 0.500 0.438
Ga 0.500 0.500 0.562
Pt 0.000 0.000 0.368
Pt 0.000 0.000 0.632
Pt 0.500 0.500 0.132
Pt 0.500 0.500 0.868
W 0.000 0.000 0.216
W 0.000 0.000 0.784
W 0.500 0.500 0.284
W 0.500 0.500 0.716
CELL_PARAMETERS angstrom
3.237 0.000 0.000
0.000 3.237 0.000
0.000 0.000 19.806

! GGA-PBE GaPt2W, optimized geometry; values from VASP
! **N(E_F)**: 8.313 states/eV per cell
! **Calculated density**: 15.8 g/cm³
! **Raw total energy**: -6.856 eV/atom
! **Formation energy from the elements**: 159 meV/atom
! **Total magnetization**: 0.000 μB/f.u.
&SYSTEM
  ibrav = 0, nat = 16, ntyp = 3
/
ATOMIC_SPECIES
Ga 69.72 Ga.upf
Pt 195.08 Pt.upf
W 183.84 W.upf
ATOMIC_POSITIONS crystal
Ga 0.000 0.000 0.000
Ga 0.000 0.500 0.250
Ga 0.500 0.000 0.750
Ga 0.500 0.500 0.500
Pt 0.248 0.250 0.125
Pt 0.250 0.748 0.375
Pt 0.250 0.752 0.875
Pt 0.252 0.250 0.625
Pt 0.748 0.750 0.625
Pt 0.750 0.248 0.875
Pt 0.750 0.252 0.375
Pt 0.752 0.750 0.125
W 0.000 0.000 0.500
W 0.000 0.500 0.750
W 0.500 0.000 0.250
W 0.500 0.500 0.000
CELL_PARAMETERS angstrom
3.889 0.000 0.000
0.000 3.889 0.000
0.000 0.000 17.930

! GGA-PBE Ga3PtW, optimized geometry; values from VASP
! **N(E_F)**: 4.713 states/eV per cell
! **Calculated density**: 9.0 g/cm³
! **Raw total energy**: -4.745 eV/atom
! **Formation energy from the elements**: 870 meV/atom
! **Total magnetization**: 3.247 μB/f.u.
&SYSTEM
  ibrav = 0, nat = 5, ntyp = 3
/
ATOMIC_SPECIES
Ga 69.72 Ga.upf
Pt 195.08 Pt.upf
W 183.84 W.upf
ATOMIC_POSITIONS crystal
Ga 0.000 0.000 0.500
Ga 0.000 0.500 0.000
Ga 0.500 0.000 0.000
Pt 0.000 0.000 0.000
W 0.500 0.500 0.500
CELL_PARAMETERS angstrom
4.774 0.000 0.000
0.000 4.774 0.000
0.000 0.000 4.774

! GGA-PBE YGaPtW2, optimized geometry; values from VASP
! **N(E_F)**: 4.636 states/eV per cell
! **Calculated density**: 9.6 g/cm³
! **Raw total energy**: -7.078 eV/atom
! **Formation energy from the elements**: 1209 meV/atom
! **Total magnetization**: 0.000 μB/f.u.
&SYSTEM
  ibrav = 0, nat = 5, ntyp = 4
/
ATOMIC_SPECIES
Y 88.91 Y.upf
Ga 69.72 Ga.upf
Pt 195.08 Pt.upf
W 183.84 W.upf
ATOMIC_POSITIONS crystal
Y 0.000 0.000 0.000
Ga 0.500 0.500 0.000
Pt 0.000 0.000 0.500
W 0.000 0.500 0.500
W 0.500 0.000 0.500
CELL_PARAMETERS angstrom
4.847 0.000 0.000
0.000 4.847 0.000
0.000 0.000 5.292

! GGA-PBE ZnGaPtW2, optimized geometry; values from VASP
! **N(E_F)**: 5.420 states/eV per cell
! **Calculated density**: 11.9 g/cm³
! **Raw total energy**: -5.673 eV/atom
! **E above lowest polymorph**: 0.023 eV per atom
! **Formation energy from the elements**: 1576 meV/atom
! **Total magnetization**: 0.000 μB/f.u.
&SYSTEM
  ibrav = 0, nat = 5, ntyp = 4
/
ATOMIC_SPECIES
Zn 65.41 Zn.upf
Ga 69.72 Ga.upf
Pt 195.08 Pt.upf
W 183.84 W.upf
ATOMIC_POSITIONS crystal
Zn 0.000 0.000 0.000
Ga 0.500 0.500 0.500
Pt 0.500 0.500 0.000
W 0.000 0.500 0.500
W 0.500 0.000 0.500
CELL_PARAMETERS angstrom
4.625 0.000 0.000
0.000 4.625 0.000
0.000 0.000 4.560

! GGA-PBE ZnGaPtW2, optimized geometry; values from VASP
! **N(E_F)**: 5.636 states/eV per cell
! **Calculated density**: 12.5 g/cm³
! **Raw total energy**: -5.696 eV/atom
! **E above lowest polymorph**: 0.000 eV per atom
! **Formation energy from the elements**: 1554 meV/atom
! **Total magnetization**: 1.196 μB/f.u.
&SYSTEM
  ibrav = 0, nat = 5, ntyp = 4
/
ATOMIC_SPECIES
Zn 65.41 Zn.upf
Ga 69.72 Ga.upf
Pt 195.08 Pt.upf
W 183.84 W.upf
ATOMIC_POSITIONS crystal
Zn 0.000 0.000 0.000
Ga 0.000 0.000 0.500
Pt 0.500 0.500 0.000
W 0.000 0.500 0.500
W 0.500 0.000 0.500
CELL_PARAMETERS angstrom
4.632 0.000 0.000
0.000 4.632 0.000
0.000 0.000 4.307

! GGA-PBE Y2GaPt2, optimized geometry; values from VASP
! **N(E_F)**: 9.199 states/eV per cell
! **Calculated density**: 9.0 g/cm³
! **Raw total energy**: -6.464 eV/atom
! **Formation energy from the elements**: -857 meV/atom
! **Total magnetization**: 0.000 μB/f.u.
&SYSTEM
  ibrav = 0, nat = 10, ntyp = 3
/
ATOMIC_SPECIES
Y 88.91 Y.upf
Ga 69.72 Ga.upf
Pt 195.08 Pt.upf
ATOMIC_POSITIONS crystal
Y 0.000 0.500 0.250
Y 0.000 0.500 0.750
Y 0.500 0.000 0.250
Y 0.500 0.000 0.750
Ga 0.000 0.000 0.000
Ga 0.500 0.500 0.500
Pt 0.000 0.000 0.332
Pt 0.000 0.000 0.668
Pt 0.500 0.500 0.168
Pt 0.500 0.500 0.832
CELL_PARAMETERS angstrom
5.540 0.000 0.000
0.000 5.540 0.000
0.000 0.000 7.664

! GGA-PBE Y2Ga2Pt, optimized geometry; values from VASP
! **N(E_F)**: 6.855 states/eV per cell
! **Calculated density**: 7.9 g/cm³
! **Raw total energy**: -5.927 eV/atom
! **E above lowest polymorph**: 0.000 eV per atom
! **Formation energy from the elements**: -923 meV/atom
! **Total magnetization**: 0.000 μB/f.u.
&SYSTEM
  ibrav = 0, nat = 10, ntyp = 3
/
ATOMIC_SPECIES
Y 88.91 Y.upf
Ga 69.72 Ga.upf
Pt 195.08 Pt.upf
ATOMIC_POSITIONS crystal
Y 0.007 0.007 0.328
Y 0.188 0.188 0.118
Y 0.812 0.812 0.882
Y 0.993 0.993 0.672
Ga 0.355 0.355 0.448
Ga 0.474 0.474 0.111
Ga 0.526 0.526 0.889
Ga 0.645 0.645 0.552
Pt 0.275 0.275 0.663
Pt 0.725 0.725 0.337
CELL_PARAMETERS angstrom
5.333 -2.162 0.000
5.333 2.162 0.000
-4.763 0.000 9.396

! GGA-PBE YGa4Pt6, optimized geometry; values from VASP
! **N(E_F)**: 4.916 states/eV per cell
! **Calculated density**: 13.8 g/cm³
! **Raw total energy**: -5.786 eV/atom
! **E above lowest polymorph**: 0.000 eV per atom
! **Formation energy from the elements**: -803 meV/atom
! **Total magnetization**: 0.000 μB/f.u.
&SYSTEM
  ibrav = 0, nat = 11, ntyp = 3
/
ATOMIC_SPECIES
Y 88.91 Y.upf
Ga 69.72 Ga.upf
Pt 195.08 Pt.upf
ATOMIC_POSITIONS crystal
Y 0.000 0.000 0.000
Ga 0.333 0.667 0.000
Ga 0.394 0.197 0.500
Ga 0.803 0.197 0.500
Ga 0.803 0.606 0.500
Pt 0.194 0.388 0.500
Pt 0.194 0.806 0.500
Pt 0.533 0.066 0.000
Pt 0.533 0.467 0.000
Pt 0.612 0.806 0.500
Pt 0.934 0.467 0.000
CELL_PARAMETERS angstrom
7.404 0.000 0.000
-3.702 6.412 0.000
0.000 0.000 3.889

! GGA-PBE Y3Ga2Pt7, optimized geometry; values from VASP
! **N(E_F)**: 4.511 states/eV per cell
! **Calculated density**: 12.1 g/cm³
! **Raw total energy**: -6.518 eV/atom
! **Formation energy from the elements**: -874 meV/atom
! **Total magnetization**: 0.000 μB/f.u.
&SYSTEM
  ibrav = 0, nat = 12, ntyp = 3
/
ATOMIC_SPECIES
Y 88.91 Y.upf
Ga 69.72 Ga.upf
Pt 195.08 Pt.upf
ATOMIC_POSITIONS crystal
Y 0.000 0.000 0.000
Y 0.203 0.797 0.000
Y 0.797 0.203 0.000
Ga 0.417 0.583 0.500
Ga 0.583 0.417 0.500
Pt 0.134 0.866 0.500
Pt 0.286 0.714 0.500
Pt 0.365 0.635 0.000
Pt 0.500 0.500 0.500
Pt 0.635 0.365 0.000
Pt 0.714 0.286 0.500
Pt 0.866 0.134 0.500
CELL_PARAMETERS angstrom
2.047 -14.712 0.000
2.047 14.712 0.000
0.000 0.000 4.034

! GGA-PBE YGa4Pt8, optimized geometry; values from VASP
! **N(E_F)**: 6.811 states/eV per cell
! **Calculated density**: 15.0 g/cm³
! **Raw total energy**: -5.803 eV/atom
! **Formation energy from the elements**: -657 meV/atom
! **Total magnetization**: 0.000 μB/f.u.
&SYSTEM
  ibrav = 0, nat = 13, ntyp = 3
/
ATOMIC_SPECIES
Y 88.91 Y.upf
Ga 69.72 Ga.upf
Pt 195.08 Pt.upf
ATOMIC_POSITIONS crystal
Y 0.000 0.000 0.000
Ga 0.000 0.000 0.500
Ga 0.000 0.500 0.000
Ga 0.500 0.000 0.000
Ga 0.500 0.500 0.500
Pt 0.000 0.333 0.333
Pt 0.000 0.667 0.667
Pt 0.275 0.500 0.775
Pt 0.333 0.000 0.333
Pt 0.500 0.275 0.775
Pt 0.500 0.725 0.225
Pt 0.667 0.000 0.667
Pt 0.725 0.500 0.225
CELL_PARAMETERS angstrom
-4.427 4.427 2.724
4.427 -4.427 2.724
4.427 4.427 -2.724

! GGA-PBE YGa2Pt, optimized geometry; values from VASP
! **N(E_F)**: 6.419 states/eV per cell
! **Calculated density**: 9.0 g/cm³
! **Raw total energy**: -5.456 eV/atom
! **Formation energy from the elements**: -817 meV/atom
! **Total magnetization**: 0.000 μB/f.u.
&SYSTEM
  ibrav = 0, nat = 12, ntyp = 3
/
ATOMIC_SPECIES
Y 88.91 Y.upf
Ga 69.72 Ga.upf
Pt 195.08 Pt.upf
ATOMIC_POSITIONS crystal
Y 0.000 0.000 0.000
Y 0.333 0.667 0.667
Y 0.667 0.333 0.333
Ga 0.000 0.000 0.219
Ga 0.000 0.000 0.781
Ga 0.333 0.667 0.448
Ga 0.333 0.667 0.886
Ga 0.667 0.333 0.114
Ga 0.667 0.333 0.552
Pt 0.000 0.000 0.500
Pt 0.333 0.667 0.167
Pt 0.667 0.333 0.833
CELL_PARAMETERS angstrom
4.262 0.000 0.000
-2.131 3.691 0.000
0.000 0.000 14.881

! GGA-PBE Y4GaPt3, optimized geometry; values from VASP
! **N(E_F)**: 5.329 states/eV per cell
! **Calculated density**: 9.2 g/cm³
! **Raw total energy**: -6.984 eV/atom
! **Formation energy from the elements**: -1108 meV/atom
! **Total magnetization**: 0.000 μB/f.u.
&SYSTEM
  ibrav = 0, nat = 8, ntyp = 3
/
ATOMIC_SPECIES
Y 88.91 Y.upf
Ga 69.72 Ga.upf
Pt 195.08 Pt.upf
ATOMIC_POSITIONS crystal
Y 0.000 0.000 0.000
Y 0.000 0.500 0.272
Y 0.500 0.000 0.486
Y 0.500 0.500 0.775
Ga 0.000 0.000 0.710
Pt 0.000 0.500 0.556
Pt 0.500 0.000 0.220
Pt 0.500 0.500 0.046
CELL_PARAMETERS angstrom
3.802 0.000 0.000
0.000 4.454 0.000
0.000 0.000 10.775

! GGA-PBE YGa2Pt5, optimized geometry; values from VASP
! **N(E_F)**: 6.642 states/eV per cell
! **Calculated density**: 14.2 g/cm³
! **Raw total energy**: -6.104 eV/atom
! **Formation energy from the elements**: -764 meV/atom
! **Total magnetization**: 0.000 μB/f.u.
&SYSTEM
  ibrav = 0, nat = 16, ntyp = 3
/
ATOMIC_SPECIES
Y 88.91 Y.upf
Ga 69.72 Ga.upf
Pt 195.08 Pt.upf
ATOMIC_POSITIONS crystal
Y 0.000 0.000 0.000
Y 0.500 0.500 0.500
Ga 0.000 0.500 0.248
Ga 0.000 0.500 0.752
Ga 0.500 0.000 0.252
Ga 0.500 0.000 0.748
Pt 0.000 0.202 0.361
Pt 0.000 0.202 0.639
Pt 0.000 0.500 0.000
Pt 0.000 0.798 0.361
Pt 0.000 0.798 0.639
Pt 0.500 0.000 0.500
Pt 0.500 0.298 0.139
Pt 0.500 0.298 0.861
Pt 0.500 0.702 0.139
Pt 0.500 0.702 0.861
CELL_PARAMETERS angstrom
3.847 0.000 0.000
0.000 7.220 0.000
0.000 0.000 10.102

! GGA-PBE Y2Ga2Pt, optimized geometry; values from VASP
! **N(E_F)**: 8.437 states/eV per cell
! **Calculated density**: 7.5 g/cm³
! **Raw total energy**: -5.573 eV/atom
! **E above lowest polymorph**: 0.354 eV per atom
! **Formation energy from the elements**: -568 meV/atom
! **Total magnetization**: 0.000 μB/f.u.
&SYSTEM
  ibrav = 0, nat = 10, ntyp = 3
/
ATOMIC_SPECIES
Y 88.91 Y.upf
Ga 69.72 Ga.upf
Pt 195.08 Pt.upf
ATOMIC_POSITIONS crystal
Y 0.000 0.000 0.097
Y 0.000 0.000 0.903
Y 0.500 0.500 0.403
Y 0.500 0.500 0.597
Ga 0.000 0.500 0.250
Ga 0.000 0.500 0.750
Ga 0.500 0.000 0.250
Ga 0.500 0.000 0.750
Pt 0.000 0.000 0.500
Pt 0.500 0.500 0.000
CELL_PARAMETERS angstrom
3.632 0.000 0.000
0.000 3.632 0.000
0.000 0.000 17.238

! GGA-PBE YGa6Pt3, optimized geometry; values from VASP
! **N(E_F)**: 6.092 states/eV per cell
! **Calculated density**: 10.3 g/cm³
! **Raw total energy**: -4.952 eV/atom
! **Formation energy from the elements**: -677 meV/atom
! **Total magnetization**: 0.000 μB/f.u.
&SYSTEM
  ibrav = 0, nat = 20, ntyp = 3
/
ATOMIC_SPECIES
Y 88.91 Y.upf
Ga 69.72 Ga.upf
Pt 195.08 Pt.upf
ATOMIC_POSITIONS crystal
Y 0.070 0.250 0.266
Y 0.930 0.750 0.734
Ga 0.111 0.250 0.598
Ga 0.126 0.750 0.029
Ga 0.292 0.750 0.766
Ga 0.313 0.750 0.262
Ga 0.417 0.250 0.443
Ga 0.452 0.250 0.906
Ga 0.548 0.750 0.094
Ga 0.583 0.750 0.557
Ga 0.687 0.250 0.738
Ga 0.708 0.250 0.234
Ga 0.874 0.250 0.971
Ga 0.889 0.750 0.402
Pt 0.154 0.250 0.881
Pt 0.221 0.750 0.501
Pt 0.405 0.250 0.161
Pt 0.595 0.750 0.839
Pt 0.779 0.250 0.499
Pt 0.846 0.750 0.119
CELL_PARAMETERS angstrom
8.503 0.000 0.000
0.000 4.331 0.000
-1.160 0.000 9.609

! GGA-PBE Y2Ga5Pt3, optimized geometry; values from VASP
! **N(E_F)**: 10.277 states/eV per cell
! **Calculated density**: 10.0 g/cm³
! **Raw total energy**: -5.526 eV/atom
! **E above lowest polymorph**: 0.000 eV per atom
! **Formation energy from the elements**: -907 meV/atom
! **Total magnetization**: 0.000 μB/f.u.
&SYSTEM
  ibrav = 0, nat = 20, ntyp = 3
/
ATOMIC_SPECIES
Y 88.91 Y.upf
Ga 69.72 Ga.upf
Pt 195.08 Pt.upf
ATOMIC_POSITIONS crystal
Y 0.016 0.984 0.500
Y 0.325 0.675 0.520
Y 0.675 0.325 0.020
Y 0.984 0.016 0.000
Ga 0.104 0.896 0.839
Ga 0.206 0.794 0.324
Ga 0.208 0.792 0.731
Ga 0.377 0.623 0.992
Ga 0.449 0.551 0.678
Ga 0.551 0.449 0.178
Ga 0.623 0.377 0.492
Ga 0.792 0.208 0.231
Ga 0.794 0.206 0.824
Ga 0.896 0.104 0.339
Pt 0.106 0.894 0.233
Pt 0.275 0.725 0.030
Pt 0.448 0.552 0.284
Pt 0.552 0.448 0.784
Pt 0.725 0.275 0.530
Pt 0.894 0.106 0.733
CELL_PARAMETERS angstrom
2.177 -12.457 0.000
2.177 12.457 0.000
0.000 0.000 6.779